[1]
Here is crystalline CuI2O6 at its relaxed geometry from the Alexandria database. Energies are from GGA-PBE.

Unit cell a=9.6597 b=3.9920 c=7.6376 alpha=90.00 beta=109.10 gamma=90.00
Closest atoms and distances in Å follow each position.
Space group C2/m (No. 12)
Unique sites:
Cu1 0.0000 0.0000 0.0000 (multiplicity 2)  2 O 1.90
I1 0.1988 0.0000 0.7007 (multiplicity 4)  4 O 1.83-2.02
O1 0.0303 0.0000 0.7664 (multiplicity 4)  1 I 1.85, 1 Cu 1.90
O2 0.1474 0.5000 0.0810 (multiplicity 4)  1 I 1.83
O3 0.2022 0.5000 0.6632 (multiplicity 4)  2 I 2.02

- formation energy (no corrections) (eV/atom) = -0.227
- VASP energy (eV/atom) = -4.332


[2]
Here is crystalline Cu3IO6 at its relaxed geometry from the Alexandria database. Energies are from GGA-PBE.

Unit cell a=8.6056 b=8.6056 c=11.4915 alpha=90.00 beta=90.00 gamma=120.00
Closest atoms and distances in Å follow each position.
Space group R-3 (No. 148, hexagonal axes)
Unique sites:
Cu1 0.0307 0.2450 0.2096 (multiplicity 18)  4 O 1.92-2.03
I1 0.0000 0.0000 0.0000 (multiplicity 3)  6 O 2.19
I2 0.0000 0.0000 0.5000 (multiplicity 3)  6 O 1.91
O1 0.0279 0.1929 0.8657 (multiplicity 18)  3 Cu 1.98-2.03, 1 I 2.19
O2 0.1002 0.2057 0.4007 (multiplicity 18)  1 I 1.91, 1 Cu 1.92

- formation energy (no corrections) (eV/atom) = -0.367
- VASP energy (eV/atom) = -4.725


[3]
Here is crystalline Cu2IO8 at its relaxed geometry from the Alexandria database. Energies are from GGA-PBE.

Unit cell a=5.7365 b=5.0312 c=9.6071 alpha=90.00 beta=102.33 gamma=90.00
Closest atoms and distances in Å follow each position.
Space group P2_1 (No. 4)
Unique sites:
Cu1 0.1538 0.0000 0.1077 (multiplicity 2)  4 O 1.79-1.92
Cu2 0.1840 0.4565 0.6006 (multiplicity 2)  5 O 1.92-1.96
I1 0.1180 0.9750 0.7629 (multiplicity 2)  6 O 1.88-2.00
O1 0.0124 0.6333 0.4284 (multiplicity 2)  2 Cu 1.95-1.96, 1 I 2.00
O2 0.0797 0.1568 0.2738 (multiplicity 2)  1 Cu 1.91, 1 I 1.95
O3 0.1544 0.6483 0.1850 (multiplicity 2)  1 Cu 1.92, 1 I 1.95
O4 0.2059 0.3227 0.0414 (multiplicity 2)  1 Cu 1.79
O5 0.2667 0.8673 0.9509 (multiplicity 2)  1 Cu 1.88, 1 I 1.90
O6 0.3111 0.2818 0.7784 (multiplicity 2)  1 I 1.89, 1 Cu 1.92
O7 0.3408 0.7799 0.6867 (multiplicity 2)  1 I 1.88, 1 Cu 1.96
O8 0.4560 0.3753 0.5213 (multiplicity 2)  1 Cu 1.92

- formation energy (no corrections) (eV/atom) = 0.155
- VASP energy (eV/atom) = -4.337


[4]
Here is crystalline CuIO3 at its relaxed geometry from the Alexandria database. Energies are from GGA-PBE.

Unit cell a=3.8337 b=3.8337 c=3.8337 alpha=90.00 beta=90.00 gamma=90.00
Closest atoms and distances in Å follow each position.
Space group Pm-3m (No. 221)
Unique sites:
Cu1 0.0000 0.0000 0.0000 (multiplicity 1)  6 O 1.92
I1 0.5000 0.5000 0.5000 (multiplicity 1)  12 O 2.71
O1 0.0000 0.0000 0.5000 (multiplicity 3)  2 Cu 1.92

- formation energy (no corrections) (eV/atom) = 0.227
- VASP energy (eV/atom) = -3.877


[5]
Here is crystalline CuI2O6 at its relaxed geometry from the Alexandria database. Energies are from GGA-PBE.

Unit cell a=5.3786 b=9.1415 c=9.5502 alpha=117.49 beta=91.29 gamma=91.13
Closest atoms and distances in Å follow each position.
Space group P1 (No. 1)
Unique sites:
Cu1 0.0000 0.0000 0.0000 (multiplicity 1)  4 O 1.97-2.01
Cu2 0.0802 0.6756 0.3351 (multiplicity 1)  4 O 1.98-2.01
Cu3 0.4905 0.3530 0.6672 (multiplicity 1)  4 O 2.01-2.02
I1 0.0251 0.6835 0.0034 (multiplicity 1)  3 O 1.85-1.90
I2 0.4654 0.0110 0.3603 (multiplicity 1)  3 O 1.82-1.87
I3 0.4835 0.6607 0.6359 (multiplicity 1)  3 O 1.86-1.88
I4 0.5150 0.3662 0.9996 (multiplicity 1)  3 O 1.83-1.88
I5 0.9725 0.3198 0.3126 (multiplicity 1)  3 O 1.83-1.88
I6 0.9991 0.0057 0.6812 (multiplicity 1)  3 O 1.84-1.87
O1 0.1620 0.2183 0.1322 (multiplicity 1)  1 I 1.87, 1 Cu 1.97
O2 0.2226 0.8811 0.0819 (multiplicity 1)  1 I 1.90, 1 Cu 2.00
O3 0.2308 0.9141 0.7607 (multiplicity 1)  1 I 1.85
O4 0.2369 0.1717 0.4181 (multiplicity 1)  1 I 1.82
O5 0.2904 0.5835 0.4504 (multiplicity 1)  1 I 1.86, 1 Cu 2.01
O6 0.2900 0.8825 0.4340 (multiplicity 1)  1 I 1.87, 1 Cu 1.99
O7 0.2987 0.5622 0.7367 (multiplicity 1)  1 I 1.88, 1 Cu 2.02
O8 0.3206 0.2793 0.8115 (multiplicity 1)  1 I 1.88, 1 Cu 2.02
O9 0.3490 0.5563 0.1137 (multiplicity 1)  1 I 1.83
O10 0.6551 0.1367 0.5467 (multiplicity 1)  1 I 1.87, 1 Cu 2.01
O11 0.6749 0.4707 0.5658 (multiplicity 1)  1 I 1.88, 1 Cu 2.01
O12 0.7204 0.1629 0.2316 (multiplicity 1)  1 I 1.83
O13 0.7502 0.4397 0.9062 (multiplicity 1)  1 I 1.85
O14 0.8059 0.7857 0.9232 (multiplicity 1)  1 I 1.87, 1 Cu 2.01
O15 0.8132 0.0769 0.8633 (multiplicity 1)  1 I 1.87, 1 Cu 2.01
O16 0.8244 0.8150 0.5471 (multiplicity 1)  1 I 1.84
O17 0.8487 0.4780 0.2576 (multiplicity 1)  1 I 1.88, 1 Cu 2.00
O18 0.8863 0.7433 0.1976 (multiplicity 1)  1 I 1.85, 1 Cu 1.98

- formation energy (no corrections) (eV/atom) = -0.334
- VASP energy (eV/atom) = -4.439


[6]
Here is crystalline Cu2IO at its relaxed geometry from the Alexandria database. Energies are from GGA-PBE.

Unit cell a=6.2709 b=6.2709 c=6.2709 alpha=90.00 beta=90.00 gamma=90.00
Closest atoms and distances in Å follow each position.
Space group Fm-3m (No. 225)
Unique sites:
Cu1 0.2500 0.2500 0.2500 (multiplicity 8)  4 O 2.72, 4 I 2.72
I1 0.0000 0.0000 0.0000 (multiplicity 4)  8 Cu 2.72
O1 0.0000 0.0000 0.5000 (multiplicity 4)  8 Cu 2.72

- formation energy (no corrections) (eV/atom) = 0.528
- VASP energy (eV/atom) = -3.147


[7]
Here is crystalline CuI3O at its relaxed geometry from the Alexandria database. Energies are from GGA-PBE.

Unit cell a=5.0821 b=5.0821 c=5.0821 alpha=90.00 beta=90.00 gamma=90.00
Closest atoms and distances in Å follow each position.
Space group Pm-3m (No. 221)
Unique sites:
Cu1 0.0000 0.0000 0.0000 (multiplicity 1)  12 I 3.59
I1 0.0000 0.5000 0.5000 (multiplicity 3)  2 O 2.54
O1 0.5000 0.5000 0.5000 (multiplicity 1)  6 I 2.54

- formation energy (no corrections) (eV/atom) = 0.672
- VASP energy (eV/atom) = -2.069


[8]
Here is crystalline Cu2IO2 at its relaxed geometry from the Alexandria database. Energies are from GGA-PBE.

Unit cell a=6.0906 b=6.4880 c=6.8623 alpha=116.46 beta=114.54 gamma=90.75
Closest atoms and distances in Å follow each position.
Space group P-1 (No. 2)
Unique sites:
Cu1 0.1590 0.1641 0.9995 (multiplicity 2)  3 O 1.85-1.94
Cu2 0.3354 0.3403 0.5011 (multiplicity 2)  3 O 1.86-1.93
I1 0.3832 0.1351 0.7520 (multiplicity 2)  2 Cu 2.54
O1 0.0445 0.1418 0.2153 (multiplicity 2)  3 Cu 1.86-1.94
O2 0.3531 0.4480 0.2854 (multiplicity 2)  3 Cu 1.85-1.93

- formation energy (no corrections) (eV/atom) = -0.289
- VASP energy (eV/atom) = -4.221


[9]
Here is crystalline Cu3IO4 at its relaxed geometry from the Alexandria database. Energies are from GGA-PBE.

Unit cell a=6.8638 b=4.3588 c=6.7329 alpha=90.00 beta=90.00 gamma=90.00
Closest atoms and distances in Å follow each position.
Space group Pmn2_1 (No. 31)
Unique sites:
Cu1 0.0000 0.0674 0.0000 (multiplicity 2)  2 O 1.86-1.88
Cu2 0.2295 0.4772 0.8347 (multiplicity 4)  2 O 1.92-1.97
I1 0.0000 0.9858 0.4915 (multiplicity 2)  4 O 2.01-2.03
O1 0.0000 0.2588 0.2474 (multiplicity 2)  1 Cu 1.86, 1 I 2.03
O2 0.0000 0.8216 0.7703 (multiplicity 2)  1 Cu 1.88, 1 I 2.01
O3 0.2076 0.2892 0.5776 (multiplicity 4)  2 Cu 1.92-1.97, 1 I 2.03

- formation energy (no corrections) (eV/atom) = -0.293
- VASP energy (eV/atom) = -4.502


[10]
Here is crystalline CuIO at its relaxed geometry from the Alexandria database. Energies are from GGA-PBE.

Unit cell a=10.8746 b=3.4737 c=8.0954 alpha=90.00 beta=95.50 gamma=90.00
Closest atoms and distances in Å follow each position.
Space group C2/m (No. 12)
Unique sites:
Cu1 0.1038 0.0000 0.2450 (multiplicity 4)  2 O 1.79
I1 0.1627 0.5000 0.7375 (multiplicity 4)  1 O 2.53, 1 Cu 2.53
O1 0.0654 0.5000 0.2233 (multiplicity 4)  2 Cu 1.79

- formation energy (no corrections) (eV/atom) = -0.050
- VASP energy (eV/atom) = -3.584


[11]
Here is crystalline CuIO3 at its relaxed geometry from the Alexandria database. Energies are from GGA-PBE.

Unit cell a=11.6815 b=3.0665 c=8.5832 alpha=90.00 beta=107.87 gamma=90.00
Closest atoms and distances in Å follow each position.
Space group C2/m (No. 12)
Unique sites:
Cu1 0.1093 0.0000 0.4453 (multiplicity 4)  4 O 1.93-2.02
I1 0.1577 0.5000 0.8160 (multiplicity 4)  2 O 1.90-2.01
O1 0.0351 0.5000 0.3183 (multiplicity 4)  2 Cu 1.93
O2 0.1740 0.0000 0.0767 (multiplicity 4)  1 I 1.90
O3 0.1827 0.5000 0.5951 (multiplicity 4)  1 I 2.01, 2 Cu 2.02

- formation energy (no corrections) (eV/atom) = -0.128
- VASP energy (eV/atom) = -4.232


[12]
Here is crystalline CuI2O6 at its relaxed geometry from the Alexandria database. Energies are from GGA-PBE.

Unit cell a=5.1099 b=6.3414 c=8.3975 alpha=90.00 beta=92.42 gamma=90.00
Closest atoms and distances in Å follow each position.
Space group P2_1/m (No. 11)
Unique sites:
Cu1 0.0000 0.0000 0.0000 (multiplicity 2)  4 O 1.97-2.00
I1 0.0347 0.2500 0.6599 (multiplicity 2)  3 O 1.83-1.93
I2 0.4606 0.2500 0.2568 (multiplicity 2)  3 O 1.80-1.88
O1 0.1352 0.2500 0.8840 (multiplicity 2)  1 I 1.93, 2 Cu 2.00
O2 0.2339 0.0303 0.1911 (multiplicity 4)  1 I 1.88, 1 Cu 1.97
O3 0.2475 0.0333 0.6018 (multiplicity 4)  1 I 1.83
O4 0.3146 0.7500 0.9030 (multiplicity 2)  1 I 1.80

- formation energy (no corrections) (eV/atom) = -0.345
- VASP energy (eV/atom) = -4.450


[13]
Here is crystalline CuIO3 at its relaxed geometry from the Alexandria database. Energies are from GGA-PBE.

Unit cell a=4.0664 b=4.0664 c=4.0664 alpha=90.00 beta=90.00 gamma=90.00
Closest atoms and distances in Å follow each position.
Space group Pm-3m (No. 221)
Unique sites:
Cu1 0.0000 0.0000 0.0000 (multiplicity 1)  12 O 2.88
I1 0.5000 0.5000 0.5000 (multiplicity 1)  6 O 2.03
O1 0.0000 0.5000 0.5000 (multiplicity 3)  2 I 2.03

- formation energy (no corrections) (eV/atom) = 0.218
- VASP energy (eV/atom) = -3.886


[14]
Here is crystalline CuI2O6 at its relaxed geometry from the Alexandria database. Energies are from GGA-PBE.

Unit cell a=5.6591 b=5.3087 c=9.3014 alpha=90.00 beta=97.77 gamma=90.00
Closest atoms and distances in Å follow each position.
Space group P2_1 (No. 4)
Unique sites:
Cu1 0.2181 0.0000 0.2453 (multiplicity 2)  4 O 1.97-1.98
I1 0.2586 0.9054 0.9012 (multiplicity 2)  3 O 1.82-1.88
I2 0.2678 0.3953 0.5650 (multiplicity 2)  3 O 1.83-1.87
O1 0.0260 0.2008 0.6154 (multiplicity 2)  1 I 1.83
O2 0.0899 0.6771 0.7712 (multiplicity 2)  1 I 1.88, 1 Cu 1.97
O3 0.1309 0.8052 0.0655 (multiplicity 2)  1 I 1.85, 1 Cu 1.97
O4 0.3605 0.1941 0.4167 (multiplicity 2)  1 I 1.87, 1 Cu 1.98
O5 0.4561 0.2401 0.0795 (multiplicity 2)  1 I 1.82
O6 0.4972 0.7758 0.2916 (multiplicity 2)  1 I 1.86, 1 Cu 1.98

- formation energy (no corrections) (eV/atom) = -0.345
- VASP energy (eV/atom) = -4.450


[15]
Here is crystalline Cu2IO at its relaxed geometry from the Alexandria database. Energies are from GGA-PBE.

Unit cell a=5.1829 b=5.1829 c=10.8063 alpha=90.00 beta=90.00 gamma=90.00
Closest atoms and distances in Å follow each position.
Space group I-42d (No. 122)
Unique sites:
Cu1 0.0911 0.2500 0.1250 (multiplicity 8)  2 O 1.93
I1 0.0000 0.0000 0.5000 (multiplicity 4)  4 Cu 2.83
O1 0.0000 0.0000 0.0000 (multiplicity 4)  4 Cu 1.93

- formation energy (no corrections) (eV/atom) = -0.256
- VASP energy (eV/atom) = -3.931


[16]
Here is crystalline Cu2IO4 at its relaxed geometry from the Alexandria database. Energies are from GGA-PBE.

Unit cell a=5.1178 b=5.1178 c=8.4037 alpha=90.00 beta=90.00 gamma=90.00
Closest atoms and distances in Å follow each position.
Space group I-42m (No. 121)
Unique sites:
Cu1 0.0000 0.5000 0.2500 (multiplicity 4)  4 O 1.98
I1 0.0000 0.0000 0.0000 (multiplicity 2)  4 O 2.02
O1 0.2070 0.2070 0.1604 (multiplicity 8)  2 Cu 1.98, 1 I 2.02

- formation energy (no corrections) (eV/atom) = -0.172
- VASP energy (eV/atom) = -4.397


[17]
Here is crystalline CuI2O8 at its relaxed geometry from the Alexandria database. Energies are from GGA-PBE.

Unit cell a=5.3372 b=5.3372 c=10.0431 alpha=90.00 beta=90.00 gamma=90.00
Closest atoms and distances in Å follow each position.
Space group I422 (No. 97)
Unique sites:
Cu1 0.0000 0.0000 0.0000 (multiplicity 2)  8 O 2.23
I1 0.0000 0.5000 0.2500 (multiplicity 4)  4 O 1.87
O1 0.1670 0.3026 0.8761 (multiplicity 16)  1 I 1.87

- formation energy (no corrections) (eV/atom) = 0.300
- VASP energy (eV/atom) = -3.960


[18]
Here is crystalline Cu6IO12 at its relaxed geometry from the Alexandria database. Energies are from GGA-PBE.

Unit cell a=8.4890 b=8.4890 c=11.0449 alpha=90.00 beta=90.00 gamma=120.00
Closest atoms and distances in Å follow each position.
Space group R-3 (No. 148, hexagonal axes)
Unique sites:
Cu1 0.0244 0.2462 0.1415 (multiplicity 18)  4 O 1.85-1.91
I1 0.0000 0.0000 0.5000 (multiplicity 3)  6 O 1.91
O1 0.0196 0.2060 0.8624 (multiplicity 18)  3 Cu 1.85-1.91
O2 0.0351 0.8380 0.6010 (multiplicity 18)  1 Cu 1.87, 1 I 1.91

- formation energy (no corrections) (eV/atom) = -0.326
- VASP energy (eV/atom) = -4.833


[19]
Here is crystalline CuP2IO at its relaxed geometry from the Alexandria database. Energies are from GGA-PBE.

Unit cell a=5.1726 b=5.1726 c=3.8664 alpha=90.00 beta=90.00 gamma=90.00
Closest atoms and distances in Å follow each position.
Space group P4/mmm (No. 123)
Unique sites:
Cu1 0.0000 0.0000 0.0000 (multiplicity 1)  8 P 3.23
P1 0.0000 0.5000 0.5000 (multiplicity 2)  2 I 2.59
I1 0.5000 0.5000 0.5000 (multiplicity 1)  2 O 1.93
O1 0.5000 0.5000 0.0000 (multiplicity 1)  2 I 1.93

- formation energy (no corrections) (eV/atom) = 1.176
- VASP energy (eV/atom) = -3.108


[20]
Here is crystalline CuPIO2 at its relaxed geometry from the Alexandria database. Energies are from GGA-PBE.

Unit cell a=3.8868 b=3.8868 c=4.9877 alpha=90.00 beta=90.00 gamma=90.00
Closest atoms and distances in Å follow each position.
Space group P4/mmm (No. 123)
Unique sites:
Cu1 0.0000 0.0000 0.0000 (multiplicity 1)  4 O 1.94
P1 0.0000 0.0000 0.5000 (multiplicity 1)  2 Cu 2.49, 4 I 2.75
I1 0.5000 0.5000 0.5000 (multiplicity 1)  4 P 2.75
O1 0.0000 0.5000 0.0000 (multiplicity 2)  2 Cu 1.94

- formation energy (no corrections) (eV/atom) = 0.443
- VASP energy (eV/atom) = -3.752